Here is a relaxed structure of Na3MgC2ClO6 from the Alexandria database. Energies are from GGA-PBEsol.

Results
Formation energy (no corrections), eV per formula unit: -24.5
Uncorrected energy, eV per cell: -1332.0
Total magnetization, μB/cell: 0.0

Cell lengths 14.0359, 14.0359, 14.0359 Å; angles 90.00, 90.00, 90.00 degrees
With the nearest neighbours (Å) after each atom.
Space group Fd-3 (No. 203, origin choice 2)
Inequivalent atoms, fractional coordinates:
Na (0.1014, 0.3750, 0.3750) [48 per cell]  4 O 2.38-2.43
Mg (0.0000, 0.0000, 0.5000) [16 per cell]  6 O 2.07
C (0.0331, 0.0331, 0.7169) [32 per cell]  3 O 1.29
Cl (0.0000, 0.0000, 0.0000) [16 per cell]  6 Na 2.86
O (0.0143, 0.2716, 0.6048) [96 per cell]  1 C 1.29